(1)
A plane-wave DFT calculation with PBE was carried out for Ac3PmSn after structural relaxation. Values from VASP.

Quantum ESPRESSO input file:
```
&SYSTEM
  ibrav = 0, nat = 20, ntyp = 3
/
ATOMIC_SPECIES
Sn 118.71 Sn.upf
Ac 227.00 Ac.upf
Pm 145.00 Pm.upf
CELL_PARAMETERS angstrom
-1.2905 -4.3858 -5.6687
9.7418 1.4519 -3.3409
3.1936 -8.3087 5.7013
ATOMIC_POSITIONS crystal
Sn 0.5000 0.0000 0.0000
Sn 0.5000 0.0000 0.5000
Sn 0.0000 0.5000 0.0000
Sn 0.0000 0.5000 0.5000
Ac 0.6094 0.6807 0.9381
Ac 0.3906 0.3193 0.4381
Ac 0.2379 0.1389 0.7500
Ac 0.8906 0.1807 0.4381
Ac 0.2621 0.6389 0.2500
Ac 0.1094 0.8193 0.5619
Ac 0.1094 0.8193 0.9381
Ac 0.7379 0.3611 0.7500
Ac 0.6094 0.6807 0.5619
Ac 0.8906 0.1807 0.0619
Ac 0.7621 0.8611 0.2500
Ac 0.3906 0.3193 0.0619
Pm 0.2561 0.0030 0.2500
Pm 0.2439 0.5030 0.7500
Pm 0.7439 0.9970 0.7500
Pm 0.7561 0.4970 0.2500
```

Computed properties:
SG: No. 62
Formation energy from the elements in eV per formula unit: -1.160


(2)
A plane-wave DFT calculation with PBE was carried out for AcPmSn2 after structural relaxation. Values from VASP.

Quantum ESPRESSO input file:
```
&SYSTEM
  ibrav = 0, nat = 4, ntyp = 3
/
ATOMIC_SPECIES
Sn 118.71 Sn.upf
Pm 145.00 Pm.upf
Ac 227.00 Ac.upf
CELL_PARAMETERS angstrom
-1.7671 1.1914 -4.3397
2.7033 -3.0083 -1.9267
-3.4019 -4.8210 2.7543
ATOMIC_POSITIONS crystal
Sn 0.9991 0.0000 0.5365
Sn 0.1709 0.5000 0.8815
Pm 0.7165 0.0000 0.9725
Ac 0.4445 0.5000 0.4275
```

Computed properties:
SG: No. 38
Formation energy from the elements in eV per formula unit: -2.849


(3)
A plane-wave DFT calculation with PBE was carried out for AcPm6Sn3 after structural relaxation. Values from VASP.

Quantum ESPRESSO input file:
```
&SYSTEM
  ibrav = 0, nat = 20, ntyp = 3
/
ATOMIC_SPECIES
Pm 145.00 Pm.upf
Sn 118.71 Sn.upf
Ac 227.00 Ac.upf
CELL_PARAMETERS angstrom
-8.6655 -0.6845 0.8044
0.9435 -8.2182 3.1711
0.3961 4.1631 7.8101
ATOMIC_POSITIONS crystal
Pm 0.8063 0.4267 0.0670
Pm 0.1608 0.7323 0.6018
Pm 0.3063 0.0670 0.4267
Pm 0.1608 0.3982 0.2677
Pm 0.7013 0.9758 0.0242
Pm 0.6608 0.2677 0.3982
Pm 0.8063 0.9330 0.5733
Pm 0.0586 0.7683 0.2317
Pm 0.3063 0.5733 0.9330
Pm 0.5586 0.2317 0.7683
Pm 0.6608 0.6018 0.7323
Pm 0.2013 0.0242 0.9758
Sn 0.4625 0.8923 0.7223
Sn 0.9625 0.7223 0.8923
Sn 0.4625 0.2777 0.1077
Sn 0.3623 0.4294 0.5706
Sn 0.9625 0.1077 0.2777
Sn 0.8623 0.5706 0.4294
Ac 0.5039 0.6864 0.3136
Ac 0.0039 0.3136 0.6864
```

Computed properties:
SG: No. 36
Formation energy from the elements in eV per formula unit: -4.434